Below is crystalline Li2OsSe at its relaxed geometry, with properties calculated at the PBE level.

Uncorrected formation energy = 0.510 eV per formula unit
N(E_F) = 6.80 states/eV/cell

a b c (Å): 3.6538 3.6538 8.4675
angles (deg): 90.00 90.00 90.00
With the nearest neighbours (Å) after each atom.
Space group I4/mmm (No. 139)
Asymmetric unit:
1 Li 0.0000 0.5000 0.2500 (multiplicity 4)  4 Li 2.58, 4 Se 2.80, 4 Os 2.80
2 Os 0.0000 0.0000 0.0000 (multiplicity 2)  4 Se 2.58, 8 Li 2.80
3 Se 0.0000 0.0000 0.5000 (multiplicity 2)  4 Os 2.58, 8 Li 2.80


Below is crystalline Li2OsSe at its relaxed geometry, with properties calculated at the PBE level.

Uncorrected formation energy = 0.493 eV per formula unit
N(E_F) = 8.78 states/eV/cell

a b c (Å): 6.0148 6.0148 6.0148
angles (deg): 90.00 90.00 90.00
With the nearest neighbours (Å) after each atom.
Space group F-43m (No. 216)
Asymmetric unit:
1 Li 0.0000 0.0000 0.0000 (multiplicity 4)  4 Li 2.60, 4 Se 2.60
2 Li 0.2500 0.2500 0.2500 (multiplicity 4)  4 Os 2.60, 4 Li 2.60
3 Os 0.0000 0.0000 0.5000 (multiplicity 4)  4 Se 2.60, 4 Li 2.60
4 Se 0.2500 0.2500 0.7500 (multiplicity 4)  4 Li 2.60, 4 Os 2.60


> Among the records above, which one has the highest N(E_F)?

number 2


> Which value of uncorrected formation energy does entry 1 give?

0.510 eV per formula unit